1.
A relaxed PuMnRuRh crystal. Source: Alexandria, functional PBE.

Summary:
The uncorrected energy comes out at -0.3745 Ha/atom. Its spin magnetization is 8.57 μB per formula unit. As for the calculated formation energy: -159 meV/atom.

Lattice parameters (Å, degrees): 4.5669 4.5669 4.5669 60.00 60.00 60.00
Closest atoms and distances in Å follow each position.
Positions (direct):
1 Pu 0.0000 0.0000 0.0000  4 Ru 2.80, 4 Rh 2.80
2 Mn 0.5000 0.5000 0.5000  4 Ru 2.80, 4 Rh 2.80
3 Ru 0.7500 0.7500 0.7500  4 Mn 2.80, 4 Pu 2.80
4 Rh 0.2500 0.2500 0.2500  4 Mn 2.80, 4 Pu 2.80

=====

2.
A relaxed Pu2MnSi6Rh crystal. Source: Alexandria, functional PBE.

Summary:
The uncorrected energy comes out at -0.3009 Ha/atom. Its spin magnetization is 9.34 μB per formula unit. For the uncorrected formation energy, the calculation gives -4.17 eV/f.u.

Lattice parameters (Å, degrees): 12.4414 12.4414 12.4414 26.87 26.87 26.87
Closest atoms and distances in Å follow each position.
Positions (direct):
1 Pu 0.1281 0.1281 0.1281  12 Si 2.91-3.16
2 Pu 0.2828 0.2828 0.2828  9 Si 2.91-3.04
3 Pu 0.7172 0.7172 0.7172  9 Si 2.91-3.04
4 Pu 0.8719 0.8719 0.8719  12 Si 2.91-3.16
5 Mn 0.4229 0.4229 0.4229  6 Si 2.30-2.36
6 Mn 0.5771 0.5771 0.5771  6 Si 2.30-2.36
7 Si 0.0667 0.6558 0.6558  1 Mn 2.36, 2 Si 2.38, 1 Rh 2.45
8 Si 0.1957 0.1957 0.7733  1 Mn 2.30, 1 Rh 2.43, 2 Si 2.44
9 Si 0.1957 0.7733 0.1957  1 Mn 2.30, 1 Rh 2.43, 2 Si 2.44
10 Si 0.2267 0.8043 0.8043  1 Mn 2.30, 1 Rh 2.43, 2 Si 2.44
11 Si 0.3442 0.3442 0.9333  1 Mn 2.36, 2 Si 2.38, 1 Rh 2.45
12 Si 0.3442 0.9333 0.3442  1 Mn 2.36, 2 Si 2.38, 1 Rh 2.45
13 Si 0.6558 0.0667 0.6558  1 Mn 2.36, 2 Si 2.38, 1 Rh 2.45
14 Si 0.6558 0.6558 0.0667  1 Mn 2.36, 2 Si 2.38, 1 Rh 2.45
15 Si 0.7733 0.1957 0.1957  1 Mn 2.30, 1 Rh 2.43, 2 Si 2.44
16 Si 0.8043 0.2267 0.8043  1 Mn 2.30, 1 Rh 2.43, 2 Si 2.44
17 Si 0.8043 0.8043 0.2267  1 Mn 2.30, 1 Rh 2.43, 2 Si 2.44
18 Si 0.9333 0.3442 0.3442  1 Mn 2.36, 2 Si 2.38, 1 Rh 2.45
19 Rh 0.0000 0.0000 0.0000  6 Si 2.43
20 Rh 0.5000 0.5000 0.5000  6 Si 2.45

=====

3.
A relaxed YPuMnRh crystal. Source: Alexandria, functional PBE.

Summary:
The uncorrected energy comes out at -0.3512 Ha/atom. Its spin magnetization is 2.39 μB per formula unit. As for the calculated formation energy: -228 meV/atom.

Lattice parameters (Å, degrees): 4.8478 4.8478 4.8478 60.00 60.00 60.00
Closest atoms and distances in Å follow each position.
Positions (direct):
1 Y 0.0000 0.0000 0.0000  4 Mn 2.97, 4 Rh 2.97
2 Pu 0.5000 0.5000 0.5000  4 Mn 2.97, 4 Rh 2.97
3 Mn 0.7500 0.7500 0.7500  4 Pu 2.97, 4 Y 2.97
4 Rh 0.2500 0.2500 0.2500  4 Pu 2.97, 4 Y 2.97

=====

4.
A relaxed PuMnZnRh crystal. Source: Alexandria, functional PBE.

Summary:
The uncorrected energy comes out at -0.3038 Ha/atom. Its spin magnetization is 2.28 μB per formula unit. As for the calculated formation energy: -236 meV/atom.

Lattice parameters (Å, degrees): 4.5273 4.5273 4.5273 60.00 60.00 60.00
Closest atoms and distances in Å follow each position.
Positions (direct):
1 Pu 0.0000 0.0000 0.0000  4 Mn 2.77, 4 Rh 2.77
2 Mn 0.2500 0.2500 0.2500  4 Pu 2.77, 4 Zn 2.77
3 Zn 0.5000 0.5000 0.5000  4 Mn 2.77, 4 Rh 2.77
4 Rh 0.7500 0.7500 0.7500  4 Pu 2.77, 4 Zn 2.77